(1)
This record from the Alexandria database describes a relaxed BaErTl crystal. The functional is PBE-GGA.

Its space-group type is P-6m2 (187).

POSCAR file:
```
BaErTl
1.0
-0.7815 2.4633 3.2462
0.9221 -4.2259 3.4287
4.1650 3.2970 -1.4991
Ba Er Tl
1 1 1
Direct
0.6666 0.3333 0.6667 Ba
0.1665 0.6667 0.3333 Er
0.1669 0.0000 0.0000 Tl
```

***

(2)
This record from the Alexandria database describes a relaxed InSnPtRh crystal. The functional is PBE-GGA.

Its space-group type is F-43m (216).

POSCAR file:
```
InSnPtRh
1.0
4.6571 0.0000 0.0000
2.3286 4.0332 0.0000
2.3286 1.3444 3.8025
Rh Sn In Pt
1 1 1 1
Direct
0.2500 0.2500 0.2500 Rh
0.0000 0.0000 0.0000 Sn
0.5000 0.5000 0.5000 In
0.7500 0.7500 0.7500 Pt
```

***

Number 1: total energy -3.026 eV/atom. Number 2: total energy -5.367 eV/atom.